# BeHgW2

BeHgW2 at its PBEsol-relaxed geometry (SCAN, Alexandria via LeMat-Bulk).

Summary:
Polymorph energy (0 for the lowest one) = 4.2 kJ per mole of atoms
Space-group type = No. 44
DFT formation energy = 599 meV per atom

```
data_BeHgW2
_space_group_name_H-M_alt 'P 1'
_space_group_IT_number 1
_cell_length_a 4.903
_cell_length_b 4.903
_cell_length_c 4.903
_cell_angle_alpha 140.80
_cell_angle_beta 126.03
_cell_angle_gamma 68.71
loop_
_space_group_symop_operation_xyz
'x,y,z'
loop_
_atom_site_label
_atom_site_type_symbol
_atom_site_fract_x
_atom_site_fract_y
_atom_site_fract_z
Be1 Be 0.000 0.000 0.000
Hg1 Hg 0.219 0.719 0.500
W1 W 0.501 0.501 0.000
W2 W 0.763 0.263 0.500
```

***

# Hf2MgHgH

Hf2MgHgH at its PBEsol-relaxed geometry (SCAN, Alexandria via LeMat-Bulk).

Summary:
Space-group type = No. 123

```
data_Hf2MgHgH
_space_group_name_H-M_alt 'P 1'
_space_group_IT_number 1
_cell_length_a 5.542
_cell_length_b 5.542
_cell_length_c 3.363
_cell_angle_alpha 90.00
_cell_angle_beta 90.00
_cell_angle_gamma 90.00
loop_
_space_group_symop_operation_xyz
'x,y,z'
loop_
_atom_site_label
_atom_site_type_symbol
_atom_site_fract_x
_atom_site_fract_y
_atom_site_fract_z
Hf1 Hf 0.000 0.500 0.000
Hf2 Hf 0.500 0.000 0.000
Mg1 Mg 0.000 0.000 0.500
Hg1 Hg 0.500 0.500 0.000
H1 H 0.500 0.500 0.500
```

***

# BeZn2BSe

BeZn2BSe at its PBEsol-relaxed geometry (SCAN, Alexandria via LeMat-Bulk).

Summary:
Space-group type = No. 123
Raw formation energy = 0.629 eV/atom

```
data_BeZn2BSe
_space_group_name_H-M_alt 'P 1'
_space_group_IT_number 1
_cell_length_a 4.496
_cell_length_b 4.496
_cell_length_c 3.533
_cell_angle_alpha 90.00
_cell_angle_beta 90.00
_cell_angle_gamma 90.00
loop_
_space_group_symop_operation_xyz
'x,y,z'
loop_
_atom_site_label
_atom_site_type_symbol
_atom_site_fract_x
_atom_site_fract_y
_atom_site_fract_z
Be1 Be 0.000 0.000 0.000
Zn1 Zn 0.000 0.500 0.000
Zn2 Zn 0.500 0.000 0.000
B1 B 0.000 0.000 0.500
Se1 Se 0.500 0.500 0.500
```

***

# Y2TlCl

Y2TlCl at its PBEsol-relaxed geometry (SCAN, Alexandria via LeMat-Bulk).

Summary:
Polymorph energy (0 for the lowest one) = 0.0 kJ per mole of atoms
Space-group type = No. 123
Raw formation energy = -0.864 eV/atom

```
data_Y2TlCl
_space_group_name_H-M_alt 'P 1'
_space_group_IT_number 1
_cell_length_a 3.398
_cell_length_b 3.398
_cell_length_c 7.948
_cell_angle_alpha 90.00
_cell_angle_beta 90.00
_cell_angle_gamma 90.00
loop_
_space_group_symop_operation_xyz
'x,y,z'
loop_
_atom_site_label
_atom_site_type_symbol
_atom_site_fract_x
_atom_site_fract_y
_atom_site_fract_z
Y1 Y 0.000 0.000 0.239
Y2 Y 0.000 0.000 0.761
Tl1 Tl 0.500 0.500 0.500
Cl1 Cl 0.500 0.500 0.000
```

***

# CaBeIr3

CaBeIr3 at its PBEsol-relaxed geometry (SCAN, Alexandria via LeMat-Bulk).

Summary:
Space-group type = No. 221
DFT formation energy = 2867 meV per atom

```
data_CaBeIr3
_space_group_name_H-M_alt 'P 1'
_space_group_IT_number 1
_cell_length_a 4.634
_cell_length_b 4.634
_cell_length_c 4.634
_cell_angle_alpha 90.00
_cell_angle_beta 90.00
_cell_angle_gamma 90.00
loop_
_space_group_symop_operation_xyz
'x,y,z'
loop_
_atom_site_label
_atom_site_type_symbol
_atom_site_fract_x
_atom_site_fract_y
_atom_site_fract_z
Ca1 Ca 0.000 0.000 0.000
Be1 Be 0.500 0.500 0.500
Ir1 Ir 0.000 0.000 0.500
Ir2 Ir 0.000 0.500 0.000
Ir3 Ir 0.500 0.000 0.000
```

***

# SrPS2Br

SrPS2Br at its PBEsol-relaxed geometry (SCAN, Alexandria via LeMat-Bulk).

Summary:
Space-group type = No. 123
Raw formation energy = 0.583 eV/atom

```
data_SrPS2Br
_space_group_name_H-M_alt 'P 1'
_space_group_IT_number 1
_cell_length_a 5.562
_cell_length_b 5.562
_cell_length_c 5.992
_cell_angle_alpha 90.00
_cell_angle_beta 90.00
_cell_angle_gamma 90.00
loop_
_space_group_symop_operation_xyz
'x,y,z'
loop_
_atom_site_label
_atom_site_type_symbol
_atom_site_fract_x
_atom_site_fract_y
_atom_site_fract_z
Sr1 Sr 0.000 0.000 0.000
P1 P 0.000 0.000 0.500
S1 S 0.000 0.500 0.000
S2 S 0.500 0.000 0.000
Br1 Br 0.500 0.500 0.500
```

***

# Mg3PPb

Mg3PPb at its PBEsol-relaxed geometry (SCAN, Alexandria via LeMat-Bulk).

Summary:
Space-group type = No. 221
DFT formation energy = -259 meV per atom

```
data_Mg3PPb
_space_group_name_H-M_alt 'P 1'
_space_group_IT_number 1
_cell_length_a 4.901
_cell_length_b 4.901
_cell_length_c 4.901
_cell_angle_alpha 90.00
_cell_angle_beta 90.00
_cell_angle_gamma 90.00
loop_
_space_group_symop_operation_xyz
'x,y,z'
loop_
_atom_site_label
_atom_site_type_symbol
_atom_site_fract_x
_atom_site_fract_y
_atom_site_fract_z
Mg1 Mg 0.000 0.000 0.500
Mg2 Mg 0.000 0.500 0.000
Mg3 Mg 0.500 0.000 0.000
P1 P 0.000 0.000 0.000
Pb1 Pb 0.500 0.500 0.500
```

***

# KSi3C

KSi3C at its PBEsol-relaxed geometry (SCAN, Alexandria via LeMat-Bulk).

Summary:
Space-group type = No. 221
Raw formation energy = 1.337 eV/atom

```
data_KSi3C
_space_group_name_H-M_alt 'P 1'
_space_group_IT_number 1
_cell_length_a 4.371
_cell_length_b 4.371
_cell_length_c 4.371
_cell_angle_alpha 90.00
_cell_angle_beta 90.00
_cell_angle_gamma 90.00
loop_
_space_group_symop_operation_xyz
'x,y,z'
loop_
_atom_site_label
_atom_site_type_symbol
_atom_site_fract_x
_atom_site_fract_y
_atom_site_fract_z
K1 K 0.000 0.000 0.000
Si1 Si 0.000 0.500 0.500
Si2 Si 0.500 0.000 0.500
Si3 Si 0.500 0.500 0.000
C1 C 0.500 0.500 0.500
```

***

# ScAl2Co

ScAl2Co at its PBEsol-relaxed geometry (SCAN, Alexandria via LeMat-Bulk).

Summary:
Space-group type = No. 216
DFT formation energy = -330 meV per atom

```
data_ScAl2Co
_space_group_name_H-M_alt 'P 1'
_space_group_IT_number 1
_cell_length_a 4.336
_cell_length_b 4.336
_cell_length_c 4.336
_cell_angle_alpha 60.00
_cell_angle_beta 60.00
_cell_angle_gamma 60.00
loop_
_space_group_symop_operation_xyz
'x,y,z'
loop_
_atom_site_label
_atom_site_type_symbol
_atom_site_fract_x
_atom_site_fract_y
_atom_site_fract_z
Sc1 Sc 0.000 0.000 0.000
Al1 Al 0.500 0.500 0.500
Al2 Al 0.750 0.750 0.750
Co1 Co 0.250 0.250 0.250
```

***

# AcCrO3

AcCrO3 at its PBEsol-relaxed geometry (SCAN, Alexandria via LeMat-Bulk).

Summary:
Space-group type = No. 221
Raw formation energy = -3.250 eV/atom

```
data_AcCrO3
_space_group_name_H-M_alt 'P 1'
_space_group_IT_number 1
_cell_length_a 3.910
_cell_length_b 3.910
_cell_length_c 3.910
_cell_angle_alpha 90.00
_cell_angle_beta 90.00
_cell_angle_gamma 90.00
loop_
_space_group_symop_operation_xyz
'x,y,z'
loop_
_atom_site_label
_atom_site_type_symbol
_atom_site_fract_x
_atom_site_fract_y
_atom_site_fract_z
Ac1 Ac 0.000 0.000 0.000
Cr1 Cr 0.500 0.500 0.500
O1 O 0.000 0.500 0.500
O2 O 0.500 0.000 0.500
O3 O 0.500 0.500 0.000
```

***

# InH2Ru

InH2Ru at its PBEsol-relaxed geometry (SCAN, Alexandria via LeMat-Bulk).

Summary:
Space-group type = No. 122

```
data_InH2Ru
_space_group_name_H-M_alt 'P 1'
_space_group_IT_number 1
_cell_length_a 5.940
_cell_length_b 5.940
_cell_length_c 5.940
_cell_angle_alpha 140.64
_cell_angle_beta 140.64
_cell_angle_gamma 56.88
loop_
_space_group_symop_operation_xyz
'x,y,z'
loop_
_atom_site_label
_atom_site_type_symbol
_atom_site_fract_x
_atom_site_fract_y
_atom_site_fract_z
In1 In 0.000 0.000 0.000
In2 In 0.750 0.250 0.500
H1 H 0.265 0.625 0.140
H2 H 0.375 0.515 0.640
H3 H 0.485 0.125 0.860
H4 H 0.875 0.735 0.360
Ru1 Ru 0.250 0.750 0.500
Ru2 Ru 0.500 0.500 0.000
```

***

# Ta7InO19

Ta7InO19 at its PBEsol-relaxed geometry (SCAN, Alexandria via LeMat-Bulk).

Summary:
Space-group type = No. 188
Raw formation energy = -2.907 eV/atom

```
data_Ta7InO19
_space_group_name_H-M_alt 'P 1'
_space_group_IT_number 1
_cell_length_a 6.185
_cell_length_b 6.185
_cell_length_c 20.046
_cell_angle_alpha 90.00
_cell_angle_beta 90.00
_cell_angle_gamma 120.00
loop_
_space_group_symop_operation_xyz
'x,y,z'
loop_
_atom_site_label
_atom_site_type_symbol
_atom_site_fract_x
_atom_site_fract_y
_atom_site_fract_z
Ta1 Ta 0.000 0.000 0.000
Ta2 Ta 0.000 0.000 0.500
Ta3 Ta 0.030 0.335 0.156
Ta4 Ta 0.030 0.335 0.344
Ta5 Ta 0.030 0.695 0.656
Ta6 Ta 0.030 0.695 0.844
Ta7 Ta 0.305 0.335 0.656
Ta8 Ta 0.305 0.335 0.844
Ta9 Ta 0.305 0.970 0.156
Ta10 Ta 0.305 0.970 0.344
Ta11 Ta 0.665 0.695 0.156
Ta12 Ta 0.665 0.695 0.344
Ta13 Ta 0.665 0.970 0.656
Ta14 Ta 0.665 0.970 0.844
In1 In 0.333 0.667 0.000
In2 In 0.333 0.667 0.500
O1 O 0.000 0.000 0.163
O2 O 0.000 0.000 0.337
O3 O 0.000 0.000 0.663
O4 O 0.000 0.000 0.837
O5 O 0.065 0.298 0.055
O6 O 0.065 0.298 0.445
O7 O 0.065 0.767 0.555
O8 O 0.065 0.767 0.945
O9 O 0.083 0.368 0.250
O10 O 0.083 0.716 0.750
O11 O 0.233 0.298 0.555
O12 O 0.233 0.298 0.945
O13 O 0.233 0.935 0.055
O14 O 0.233 0.935 0.445
O15 O 0.284 0.368 0.750
O16 O 0.284 0.917 0.250
O17 O 0.333 0.667 0.136
O18 O 0.333 0.667 0.364
O19 O 0.333 0.667 0.636
O20 O 0.333 0.667 0.864
O21 O 0.420 0.087 0.653
O22 O 0.420 0.087 0.847
O23 O 0.420 0.333 0.153
O24 O 0.420 0.333 0.347
O25 O 0.632 0.716 0.250
O26 O 0.632 0.917 0.750
O27 O 0.667 0.087 0.153
O28 O 0.667 0.087 0.347
O29 O 0.667 0.580 0.653
O30 O 0.667 0.580 0.847
O31 O 0.702 0.767 0.055
O32 O 0.702 0.767 0.445
O33 O 0.702 0.935 0.555
O34 O 0.702 0.935 0.945
O35 O 0.913 0.333 0.653
O36 O 0.913 0.333 0.847
O37 O 0.913 0.580 0.153
O38 O 0.913 0.580 0.347
```

***

# YBiPbC2

YBiPbC2 at its PBEsol-relaxed geometry (SCAN, Alexandria via LeMat-Bulk).

Summary:
Space-group type = No. 123
DFT formation energy = 1995 meV per atom

```
data_YBiPbC2
_space_group_name_H-M_alt 'P 1'
_space_group_IT_number 1
_cell_length_a 4.481
_cell_length_b 4.481
_cell_length_c 5.925
_cell_angle_alpha 90.00
_cell_angle_beta 90.00
_cell_angle_gamma 90.00
loop_
_space_group_symop_operation_xyz
'x,y,z'
loop_
_atom_site_label
_atom_site_type_symbol
_atom_site_fract_x
_atom_site_fract_y
_atom_site_fract_z
Y1 Y 0.000 0.000 0.000
Bi1 Bi 0.500 0.500 0.000
Pb1 Pb 0.500 0.500 0.500
C1 C 0.000 0.500 0.500
C2 C 0.500 0.000 0.500
```

***

# BaCu3Br

BaCu3Br at its PBEsol-relaxed geometry (SCAN, Alexandria via LeMat-Bulk).

Summary:
Polymorph energy (0 for the lowest one) = 72.0 kJ per mole of atoms
Space-group type = No. 221
Raw formation energy = 1.400 eV/atom

```
data_BaCu3Br
_space_group_name_H-M_alt 'P 1'
_space_group_IT_number 1
_cell_length_a 5.453
_cell_length_b 5.453
_cell_length_c 5.453
_cell_angle_alpha 90.00
_cell_angle_beta 90.00
_cell_angle_gamma 90.00
loop_
_space_group_symop_operation_xyz
'x,y,z'
loop_
_atom_site_label
_atom_site_type_symbol
_atom_site_fract_x
_atom_site_fract_y
_atom_site_fract_z
Ba1 Ba 0.000 0.000 0.000
Cu1 Cu 0.000 0.000 0.500
Cu2 Cu 0.000 0.500 0.000
Cu3 Cu 0.500 0.000 0.000
Br1 Br 0.500 0.500 0.500
```

***

# ZrCdRu

ZrCdRu at its PBEsol-relaxed geometry (SCAN, Alexandria via LeMat-Bulk).

Summary:
Polymorph energy (0 for the lowest one) = 88.4 kJ per mole of atoms
Space-group type = No. 216
DFT formation energy = 580 meV per atom

```
data_ZrCdRu
_space_group_name_H-M_alt 'P 1'
_space_group_IT_number 1
_cell_length_a 4.424
_cell_length_b 4.424
_cell_length_c 4.424
_cell_angle_alpha 60.00
_cell_angle_beta 60.00
_cell_angle_gamma 60.00
loop_
_space_group_symop_operation_xyz
'x,y,z'
loop_
_atom_site_label
_atom_site_type_symbol
_atom_site_fract_x
_atom_site_fract_y
_atom_site_fract_z
Zr1 Zr 0.000 0.000 0.000
Cd1 Cd 0.750 0.750 0.750
Ru1 Ru 0.500 0.500 0.500
```

***

# Al2PbAu

Al2PbAu at its PBEsol-relaxed geometry (SCAN, Alexandria via LeMat-Bulk).

Summary:
Space-group type = No. 139
DFT formation energy = 100 meV per atom

```
data_Al2PbAu
_space_group_name_H-M_alt 'P 1'
_space_group_IT_number 1
_cell_length_a 5.184
_cell_length_b 5.184
_cell_length_c 5.184
_cell_angle_alpha 130.08
_cell_angle_beta 130.08
_cell_angle_gamma 73.28
loop_
_space_group_symop_operation_xyz
'x,y,z'
loop_
_atom_site_label
_atom_site_type_symbol
_atom_site_fract_x
_atom_site_fract_y
_atom_site_fract_z
Al1 Al 0.250 0.750 0.500
Al2 Al 0.750 0.250 0.500
Pb1 Pb 0.000 0.000 0.000
Au1 Au 0.500 0.500 0.000
```

***

# CsK3Ti

CsK3Ti at its PBEsol-relaxed geometry (SCAN, Alexandria via LeMat-Bulk).

Summary:
Space-group type = No. 221
DFT formation energy = 632 meV per atom

```
data_CsK3Ti
_space_group_name_H-M_alt 'P 1'
_space_group_IT_number 1
_cell_length_a 6.901
_cell_length_b 6.901
_cell_length_c 6.901
_cell_angle_alpha 90.00
_cell_angle_beta 90.00
_cell_angle_gamma 90.00
loop_
_space_group_symop_operation_xyz
'x,y,z'
loop_
_atom_site_label
_atom_site_type_symbol
_atom_site_fract_x
_atom_site_fract_y
_atom_site_fract_z
Cs1 Cs 0.000 0.000 0.000
K1 K 0.000 0.500 0.500
K2 K 0.500 0.000 0.500
K3 K 0.500 0.500 0.000
Ti1 Ti 0.500 0.500 0.500
```

***

# Zn2TcMo

Zn2TcMo at its PBEsol-relaxed geometry (SCAN, Alexandria via LeMat-Bulk).

Summary:
Polymorph energy (0 for the lowest one) = 7.9 kJ per mole of atoms
Space-group type = No. 35
DFT formation energy = 84 meV per atom

```
data_Zn2TcMo
_space_group_name_H-M_alt 'P 1'
_space_group_IT_number 1
_cell_length_a 2.649
_cell_length_b 2.649
_cell_length_c 8.702
_cell_angle_alpha 90.00
_cell_angle_beta 90.00
_cell_angle_gamma 110.07
loop_
_space_group_symop_operation_xyz
'x,y,z'
loop_
_atom_site_label
_atom_site_type_symbol
_atom_site_fract_x
_atom_site_fract_y
_atom_site_fract_z
Zn1 Zn 0.000 0.000 0.000
Zn2 Zn 0.500 0.500 0.247
Tc1 Tc 0.500 0.500 0.750
Mo1 Mo 0.000 0.000 0.504
```

***

# La2TlSbAs

La2TlSbAs at its PBEsol-relaxed geometry (SCAN, Alexandria via LeMat-Bulk).

Summary:
Space-group type = No. 123
Raw formation energy = -0.076 eV/atom

```
data_La2TlSbAs
_space_group_name_H-M_alt 'P 1'
_space_group_IT_number 1
_cell_length_a 5.986
_cell_length_b 5.986
_cell_length_c 4.929
_cell_angle_alpha 90.00
_cell_angle_beta 90.00
_cell_angle_gamma 90.00
loop_
_space_group_symop_operation_xyz
'x,y,z'
loop_
_atom_site_label
_atom_site_type_symbol
_atom_site_fract_x
_atom_site_fract_y
_atom_site_fract_z
La1 La 0.000 0.500 0.000
La2 La 0.500 0.000 0.000
Tl1 Tl 0.000 0.000 0.000
Sb1 Sb 0.500 0.500 0.500
As1 As 0.000 0.000 0.500
```

***

# CsCoO2F

CsCoO2F at its PBEsol-relaxed geometry (SCAN, Alexandria via LeMat-Bulk).

Summary:
Space-group type = No. 123
Raw formation energy = 0.591 eV/atom

```
data_CsCoO2F
_space_group_name_H-M_alt 'P 1'
_space_group_IT_number 1
_cell_length_a 4.349
_cell_length_b 4.349
_cell_length_c 5.093
_cell_angle_alpha 90.00
_cell_angle_beta 90.00
_cell_angle_gamma 90.00
loop_
_space_group_symop_operation_xyz
'x,y,z'
loop_
_atom_site_label
_atom_site_type_symbol
_atom_site_fract_x
_atom_site_fract_y
_atom_site_fract_z
Cs1 Cs 0.000 0.000 0.000
Co1 Co 0.500 0.500 0.500
O1 O 0.000 0.500 0.000
O2 O 0.500 0.000 0.000
F1 F 0.000 0.000 0.500
```

***

The evaluated magnetization for the records listed, in turn: 0.00; 0.00; 0.00; 0.00; 0.00; 1.21; 0.00; 0.00; 0.00; 0.60; 0.00; 0.00; 0.45; 0.00; 0.00; 0.00; 0.79; 0.00; 0.00; 0.54 μB/atom.
The evaluated VASP energy for the records listed, in turn: -52.375; -39.612; -11.149; -34.869; -42.596; -13.695; -20.479; -8.358; -12.091; -28.761; -18.550; -25.791; -38.486; -19.521; -31.400; -40.011; -15.133; -24.160; -43.280; -13.632 eV per atom.